VASP calculation (PBE-GGA) on a relaxed CuW5 crystal.

Summary:
formation energy: 0.413 eV per atom
DOS at the Fermi energy: 5.2 states/eV/cell
polymorph energy (0 for the lowest one): 44 meV/atom

a b c (Å): 7.947 7.947 4.623
angles (deg): 90.00 90.00 160.96
Sites, in units of the cell vectors:
W 0.442 0.558 0.500
W 0.771 0.229 0.500
Cu 0.003 0.997 0.000
W 0.345 0.655 0.000
W 0.670 0.330 0.000
W 0.102 0.898 0.500

***

VASP calculation (PBE-GGA) on a relaxed TmGaSnHg crystal.

Summary:
formation energy: -0.404 eV per atom
DOS at the Fermi energy: 1.2 states/eV/cell
polymorph energy (0 for the lowest one): 0 meV/atom

a b c (Å): 4.416 4.519 4.554
angles (deg): 90.00 90.00 90.00
Sites, in units of the cell vectors:
Sn 0.000 0.500 0.500
Hg 0.500 0.000 0.500
Tm 0.500 0.500 0.000
Ga 0.000 0.000 0.000

***

Q: Which formula does entry 1 have?
A: CuW5